# BaCaEuGd

A relaxed BaCaEuGd crystal (PBE, Alexandria via LeMat-Bulk).

SG ... No. 216

The structure in extended XYZ format:
```
4
Lattice="6.259 0.000 0.000 3.129 5.420 0.000 3.129 1.807 5.110" Properties=species:S:1:pos:R:3 pbc="T T T"
Eu 3.129 1.807 1.278
Ba 6.259 3.613 2.555
Ca 9.388 5.420 3.833
Gd 0.000 0.000 0.000
```

# BaCaEuHg

A relaxed BaCaEuHg crystal (PBE, Alexandria via LeMat-Bulk).

SG ... No. 216

The structure in extended XYZ format:
```
4
Lattice="-2.698 -1.886 -5.043 -4.325 -4.182 0.282 -5.725 1.511 -1.098" Properties=species:S:1:pos:R:3 pbc="T T T"
Hg -9.560 -3.418 -4.395
Ca -3.187 -1.139 -1.465
Eu 0.000 0.000 0.000
Ba -6.374 -2.279 -2.930
```

# BaCaEuHo

A relaxed BaCaEuHo crystal (PBE, Alexandria via LeMat-Bulk).

SG ... No. 216

The structure in extended XYZ format:
```
4
Lattice="6.205 0.000 0.000 3.103 5.374 0.000 3.103 1.791 5.067" Properties=species:S:1:pos:R:3 pbc="T T T"
Ho 0.000 0.000 0.000
Ba 6.205 3.583 2.533
Eu 9.308 5.374 3.800
Ca 3.103 1.791 1.267
```

# BaCaEuMg

A relaxed BaCaEuMg crystal (PBE, Alexandria via LeMat-Bulk).

SG ... No. 216

The structure in extended XYZ format:
```
4
Lattice="-2.727 -0.534 -5.519 -2.652 -5.337 -1.632 -6.154 -0.403 -0.379" Properties=species:S:1:pos:R:3 pbc="T T T"
Ba -8.650 -4.706 -5.648
Ca -5.767 -3.137 -3.765
Eu -2.883 -1.569 -1.883
Mg 0.000 0.000 0.000
```

no.,total DFT energy (no corrections) (eV/atom),formation enthalpy at 0 K (eV per formula unit),total moment (μB per formula unit)
1,-6.92,0.609,15.252
2,-3.73,-0.431,7.242
3,-4.51,0.717,7.423
4,-3.91,0.166,7.613